LiBeRu2 | PBEsol | relaxed

Lattice parameters (Å, degrees): 2.743 4.030 4.305 90.00 90.00 90.00
Fractional positions:
Li: 0.000 0.000 0.000
Be: 0.500 0.000 0.500
Ru: 0.000 0.500 0.500
Ru: 0.500 0.500 0.000

Values from the calculation:
The symmetry is Pmmm (47). The formation energy comes out at 223 meV per atom. For the magnetization, the calculation gives 0.00 μB per atom.

=====

LiBeRu | PBEsol | relaxed

Lattice parameters (Å, degrees): 3.804 3.804 3.804 60.00 60.00 60.00
Fractional positions:
Li: 0.000 0.000 0.000
Be: 0.500 0.500 0.500
Ru: 0.750 0.750 0.750

Values from the calculation:
The symmetry is F-43m (216). The formation energy comes out at 880 meV per atom. For the magnetization, the calculation gives 0.24 μB per atom.

=====

Li2BeSb2 | PBEsol | relaxed

Lattice parameters (Å, degrees): 7.852 7.852 3.042 90.00 90.00 90.00
Fractional positions:
Li: 0.112 0.388 0.000
Li: 0.388 0.888 0.000
Li: 0.612 0.112 0.000
Li: 0.888 0.612 0.000
Be: 0.000 0.000 0.000
Be: 0.500 0.500 0.000
Sb: 0.191 0.691 0.500
Sb: 0.309 0.191 0.500
Sb: 0.691 0.809 0.500
Sb: 0.809 0.309 0.500

Values from the calculation:
The symmetry is P4/mbm (127). For the magnetization, the calculation gives 0.00 μB per atom. The raw total energy is -3.28 eV per atom.

=====

LiBeSb | PBEsol | relaxed

Lattice parameters (Å, degrees): 4.137 4.137 6.700 90.00 90.00 120.00
Fractional positions:
Li: 0.000 0.000 0.000
Li: 0.000 0.000 0.500
Be: 0.333 0.667 0.148
Be: 0.667 0.333 0.648
Sb: 0.333 0.667 0.764
Sb: 0.667 0.333 0.264

Values from the calculation:
The symmetry is P6_3mc (186). For the magnetization, the calculation gives 0.00 μB per atom. The raw total energy is -3.77 eV per atom.